[1]
Pa2InGe | PBE | optimized geometry

Output
Space group: No. 123
Formation energy in eV/f.u.: -0.69
Polymorph energy (0 for the lowest one) in meV per atom: 0

a b c (Å): 3.280 3.280 8.733
angles (deg): 90.00 90.00 90.00
Atoms (fractional coordinates):
Pa1 0.000 0.000 0.228
Pa2 0.000 0.000 0.772
Ge1 0.500 0.500 0.000
In1 0.500 0.500 0.500


[2]
Al2TeBr | PBE | optimized geometry

Output
Space group: No. 47
Polymorph energy (0 for the lowest one) in meV per atom: 363
Raw formation energy in eV/atom: 0.033

a b c (Å): 4.056 6.849 4.041
angles (deg): 90.00 90.00 90.00
Atoms (fractional coordinates):
Te1 0.000 0.500 0.500
Al1 0.500 0.500 0.000
Al2 0.000 0.000 0.000
Br1 0.500 0.000 0.500


[3]
ZrFe2Ni | PBE | optimized geometry

Output
Space group: No. 12
Formation energy in eV/f.u.: 0.44

a b c (Å): 4.831 5.017 2.734
angles (deg): 78.46 81.35 116.13
Atoms (fractional coordinates):
Zr1 0.500 0.500 0.000
Fe1 0.500 0.000 0.500
Fe2 0.000 0.000 0.000
Ni1 0.000 0.500 0.500


Asked for size of the total moment across the records above, the calculation gives 0.0; 0.0; 4.5 μB/cell in order.